[1]
# PBE Nd2USe2N2, optimized geometry
# DFT total energy ... -7.853 eV per atom
# Raw formation energy ... -10.53 eV per formula unit
data_Nd2USe2N2
_space_group_name_H-M_alt 'I 4/m m m'
_space_group_IT_number 139
_space_group_name_Hall '-I 4 2'
_cell_length_a 4.341
_cell_length_b 4.341
_cell_length_c 15.576
_cell_angle_alpha 90.00
_cell_angle_beta 90.00
_cell_angle_gamma 90.00
loop_
_atom_site_label
_atom_site_type_symbol
_atom_site_fract_x
_atom_site_fract_y
_atom_site_fract_z
_atom_site_occupancy
Nd1 Nd 0.000 0.000 0.122 1
U1 U 0.000 0.000 0.500 1
Se1 Se 0.000 0.000 0.317 1
N1 N 0.000 0.500 0.000 1

***

[2]
# PBE Na2InBiTe4, optimized geometry
# DFT total energy ... -3.262 eV per atom
# Raw formation energy ... -4.27 eV per formula unit
data_Na2InBiTe4
_space_group_name_H-M_alt 'P 1 2/m 1'
_space_group_IT_number 10
_space_group_name_Hall '-P 2y'
_cell_length_a 7.651
_cell_length_b 4.412
_cell_length_c 8.076
_cell_angle_alpha 90.00
_cell_angle_beta 108.24
_cell_angle_gamma 90.00
loop_
_atom_site_label
_atom_site_type_symbol
_atom_site_fract_x
_atom_site_fract_y
_atom_site_fract_z
_atom_site_occupancy
Na1 Na 0.000 0.000 0.000 1
Na2 Na 0.500 0.500 0.000 1
In1 In 0.000 0.500 0.500 1
Bi1 Bi 0.500 0.000 0.500 1
Te1 Te 0.230 0.000 0.725 1
Te2 Te 0.246 0.500 0.266 1

***

[3]
# PBE La8Rh3I3Cl, optimized geometry
# DFT total energy ... -5.496 eV per atom
# Raw formation energy ... -14.47 eV per formula unit
data_La8Rh3I3Cl
_space_group_name_H-M_alt 'C 1 2/m 1'
_space_group_IT_number 12
_space_group_name_Hall '-C 2y'
_cell_length_a 14.919
_cell_length_b 8.609
_cell_length_c 9.279
_cell_angle_alpha 90.00
_cell_angle_beta 122.39
_cell_angle_gamma 90.00
loop_
_atom_site_label
_atom_site_type_symbol
_atom_site_fract_x
_atom_site_fract_y
_atom_site_fract_z
_atom_site_occupancy
La1 La 0.021 0.231 0.296 1
La2 La 0.230 0.000 0.690 1
La3 La 0.247 0.500 0.703 1
Rh1 Rh 0.000 0.000 0.500 1
Rh2 Rh 0.250 0.250 0.500 1
I1 I 0.000 0.500 0.000 1
I2 I 0.250 0.250 0.000 1
Cl1 Cl 0.000 0.500 0.500 1

***

[4]
# PBE ScIn2Bi, optimized geometry
# DFT total energy ... -4.143 eV per atom
# Formation enthalpy at 0 K ... -0.9 eV per formula unit
data_ScIn2Bi
_space_group_name_H-M_alt 'P 4/m m m'
_space_group_IT_number 123
_space_group_name_Hall '-P 4 2'
_cell_length_a 4.527
_cell_length_b 4.527
_cell_length_c 4.988
_cell_angle_alpha 90.00
_cell_angle_beta 90.00
_cell_angle_gamma 90.00
loop_
_atom_site_label
_atom_site_type_symbol
_atom_site_fract_x
_atom_site_fract_y
_atom_site_fract_z
_atom_site_occupancy
Sc1 Sc 0.000 0.000 0.000 1
In1 In 0.000 0.500 0.500 1
Bi1 Bi 0.500 0.500 0.000 1

***

[5]
# PBE Ho5Tl2Bi, optimized geometry
# DFT total energy ... -4.339 eV per atom
# Formation enthalpy at 0 K ... -3.2 eV per formula unit
data_Ho5Tl2Bi
_space_group_name_H-M_alt 'I 4/m c m'
_space_group_IT_number 140
_space_group_name_Hall '-I 4 2c'
_cell_length_a 8.433
_cell_length_b 8.433
_cell_length_c 13.007
_cell_angle_alpha 90.00
_cell_angle_beta 90.00
_cell_angle_gamma 90.00
loop_
_atom_site_label
_atom_site_type_symbol
_atom_site_fract_x
_atom_site_fract_y
_atom_site_fract_z
_atom_site_occupancy
Ho1 Ho 0.000 0.000 0.000 1
Ho2 Ho 0.151 0.349 0.150 1
Tl1 Tl 0.150 0.350 0.500 1
Bi1 Bi 0.000 0.000 0.250 1

***

[6]
# PBE Mg4SnPd, optimized geometry
# DFT total energy ... -2.928 eV per atom
# Formation enthalpy at 0 K ... -2.0 eV per formula unit
data_Mg4SnPd
_space_group_name_H-M_alt 'C 1 2/c 1'
_space_group_IT_number 15
_space_group_name_Hall '-C 2yc'
_cell_length_a 8.064
_cell_length_b 12.380
_cell_length_c 5.611
_cell_angle_alpha 90.00
_cell_angle_beta 109.87
_cell_angle_gamma 90.00
loop_
_atom_site_label
_atom_site_type_symbol
_atom_site_fract_x
_atom_site_fract_y
_atom_site_fract_z
_atom_site_occupancy
Mg1 Mg 0.107 0.174 0.056 1
Mg2 Mg 0.217 0.417 0.361 1
Sn1 Sn 0.000 0.378 0.750 1
Pd1 Pd 0.000 0.002 0.250 1

***

[7]
# PBE TbHfCuAu, optimized geometry
# DFT total energy ... -5.792 eV per atom
# Formation enthalpy at 0 K ... -1.2 eV per formula unit
data_TbHfCuAu
_space_group_name_H-M_alt 'F -4 3 m'
_space_group_IT_number 216
_space_group_name_Hall 'F -4 2 3'
_cell_length_a 6.887
_cell_length_b 6.887
_cell_length_c 6.887
_cell_angle_alpha 90.00
_cell_angle_beta 90.00
_cell_angle_gamma 90.00
loop_
_atom_site_label
_atom_site_type_symbol
_atom_site_fract_x
_atom_site_fract_y
_atom_site_fract_z
_atom_site_occupancy
Tb1 Tb 0.000 0.000 0.000 1
Hf1 Hf 0.000 0.000 0.500 1
Cu1 Cu 0.250 0.250 0.750 1
Au1 Au 0.250 0.250 0.250 1

***

[8]
# PBE K2Dy2ZrS6, optimized geometry
# DFT total energy ... -5.869 eV per atom
# Raw formation energy ... -19.85 eV per formula unit
data_K2Dy2ZrS6
_space_group_name_H-M_alt 'C 1 2/m 1'
_space_group_IT_number 12
_space_group_name_Hall '-C 2y'
_cell_length_a 6.826
_cell_length_b 11.728
_cell_length_c 7.880
_cell_angle_alpha 90.00
_cell_angle_beta 107.00
_cell_angle_gamma 90.00
loop_
_atom_site_label
_atom_site_type_symbol
_atom_site_fract_x
_atom_site_fract_y
_atom_site_fract_z
_atom_site_occupancy
K1 K 0.000 0.169 0.000 1
Dy1 Dy 0.000 0.334 0.500 1
Zr1 Zr 0.000 0.000 0.500 1
S1 S 0.225 0.159 0.695 1
S2 S 0.250 0.000 0.306 1

***

[9]
# PBE Nd5Tl2Te, optimized geometry
# DFT total energy ... -4.491 eV per atom
# Raw formation energy ... -4.21 eV per formula unit
data_Nd5Tl2Te
_space_group_name_H-M_alt 'P b a m'
_space_group_IT_number 55
_space_group_name_Hall '-P 2 2ab'
_cell_length_a 8.746
_cell_length_b 12.850
_cell_length_c 4.669
_cell_angle_alpha 90.00
_cell_angle_beta 90.00
_cell_angle_gamma 90.00
loop_
_atom_site_label
_atom_site_type_symbol
_atom_site_fract_x
_atom_site_fract_y
_atom_site_fract_z
_atom_site_occupancy
Nd1 Nd 0.000 0.000 0.000 1
Nd2 Nd 0.158 0.285 0.000 1
Nd3 Nd 0.211 0.575 0.500 1
Tl1 Tl 0.075 0.823 0.500 1
Te1 Te 0.000 0.500 0.000 1

***

[10]
# PBE BaCaPb2Br8, optimized geometry
# DFT total energy ... -3.550 eV per atom
# Raw formation energy ... -17.88 eV per formula unit
data_BaCaPb2Br8
_space_group_name_H-M_alt 'P 1 2/m 1'
_space_group_IT_number 10
_space_group_name_Hall '-P 2y'
_cell_length_a 6.953
_cell_length_b 9.346
_cell_length_c 7.220
_cell_angle_alpha 90.00
_cell_angle_beta 90.67
_cell_angle_gamma 90.00
loop_
_atom_site_label
_atom_site_type_symbol
_atom_site_fract_x
_atom_site_fract_y
_atom_site_fract_z
_atom_site_occupancy
Ba1 Ba 0.000 0.000 0.000 1
Ca1 Ca 0.000 0.500 0.000 1
Pb1 Pb 0.500 0.260 0.500 1
Br1 Br 0.237 0.273 0.157 1
Br2 Br 0.256 0.500 0.669 1
Br3 Br 0.272 0.000 0.641 1

***

[11]
# PBE Sr2HoSi3Pt12, optimized geometry
# DFT total energy ... -5.834 eV per atom
# Raw formation energy ... -8.32 eV per formula unit
data_Sr2HoSi3Pt12
_space_group_name_H-M_alt 'R -3 m'
_space_group_IT_number 166
_space_group_name_Hall '-R 3 2"'
_cell_length_a 8.4086
_cell_length_b 8.4086
_cell_length_c 18.1573
_cell_angle_alpha 90.00
_cell_angle_beta 90.00
_cell_angle_gamma 120.00
loop_
_atom_site_label
_atom_site_type_symbol
_atom_site_fract_x
_atom_site_fract_y
_atom_site_fract_z
_atom_site_occupancy
Sr1 Sr 0.0000 0.0000 0.0995 1
Ho1 Ho 0.0000 0.0000 0.5000 1
Si1 Si 0.0000 0.5000 0.0000 1
Pt1 Pt 0.0223 0.5112 0.8716 1
Pt2 Pt 0.0402 0.5201 0.3657 1

***

[12]
# PBE ZnCrOs2, optimized geometry
# DFT total energy ... -7.627 eV per atom
# Formation enthalpy at 0 K ... 2.9 eV per formula unit
data_ZnCrOs2
_space_group_name_H-M_alt 'I -4 2 d'
_space_group_IT_number 122
_space_group_name_Hall 'I -4 2bw'
_cell_length_a 7.055
_cell_length_b 7.055
_cell_length_c 5.008
_cell_angle_alpha 90.00
_cell_angle_beta 90.00
_cell_angle_gamma 90.00
loop_
_atom_site_label
_atom_site_type_symbol
_atom_site_fract_x
_atom_site_fract_y
_atom_site_fract_z
_atom_site_occupancy
Zn1 Zn 0.000 0.000 0.000 1
Cr1 Cr 0.000 0.000 0.500 1
Os1 Os 0.193 0.250 0.625 1

***

[13]
# PBE BeInNi2, optimized geometry
# DFT total energy ... -4.532 eV per atom
# Formation enthalpy at 0 K ... -0.1 eV per formula unit
data_BeInNi2
_space_group_name_H-M_alt 'C 1 m 1'
_space_group_IT_number 8
_space_group_name_Hall 'C -2y'
_cell_length_a 9.165
_cell_length_b 3.118
_cell_length_c 3.942
_cell_angle_alpha 90.00
_cell_angle_beta 115.45
_cell_angle_gamma 90.00
loop_
_atom_site_label
_atom_site_type_symbol
_atom_site_fract_x
_atom_site_fract_y
_atom_site_fract_z
_atom_site_occupancy
Be1 Be 0.000 0.000 0.000 1
In1 In 0.242 0.000 0.740 1
Ni1 Ni 0.190 0.500 0.189 1
Ni2 Ni 0.469 0.000 0.467 1

***

[14]
# PBE NbFe2Mo2, optimized geometry
# DFT total energy ... -9.596 eV per atom
# Formation enthalpy at 0 K ... 0.7 eV per formula unit
data_NbFe2Mo2
_space_group_name_H-M_alt 'P 4/m b m'
_space_group_IT_number 127
_space_group_name_Hall '-P 4 2ab'
_cell_length_a 7.107
_cell_length_b 7.107
_cell_length_c 2.824
_cell_angle_alpha 90.00
_cell_angle_beta 90.00
_cell_angle_gamma 90.00
loop_
_atom_site_label
_atom_site_type_symbol
_atom_site_fract_x
_atom_site_fract_y
_atom_site_fract_z
_atom_site_occupancy
Nb1 Nb 0.000 0.000 0.000 1
Fe1 Fe 0.130 0.370 0.000 1
Mo1 Mo 0.167 0.667 0.500 1

***

[15]
# PBE TbTh2Pd7, optimized geometry
# DFT total energy ... -6.289 eV per atom
# Formation enthalpy at 0 K ... -7.1 eV per formula unit
data_TbTh2Pd7
_space_group_name_H-M_alt 'F m m m'
_space_group_IT_number 69
_space_group_name_Hall '-F 2 2'
_cell_length_a 5.751
_cell_length_b 8.626
_cell_length_c 17.151
_cell_angle_alpha 90.00
_cell_angle_beta 90.00
_cell_angle_gamma 90.00
loop_
_atom_site_label
_atom_site_type_symbol
_atom_site_fract_x
_atom_site_fract_y
_atom_site_fract_z
_atom_site_occupancy
Tb1 Tb 0.000 0.000 0.000 1
Th1 Th 0.000 0.000 0.332 1
Pd1 Pd 0.000 0.000 0.500 1
Pd2 Pd 0.250 0.250 0.084 1
Pd3 Pd 0.250 0.250 0.250 1

***

[16]
# PBE CaPS2Cl, optimized geometry
# DFT total energy ... -3.259 eV per atom
# Raw formation energy ... 1.22 eV per formula unit
data_CaPS2Cl
_space_group_name_H-M_alt 'P 4/m m m'
_space_group_IT_number 123
_space_group_name_Hall '-P 4 2'
_cell_length_a 5.014
_cell_length_b 5.014
_cell_length_c 4.420
_cell_angle_alpha 90.00
_cell_angle_beta 90.00
_cell_angle_gamma 90.00
loop_
_atom_site_label
_atom_site_type_symbol
_atom_site_fract_x
_atom_site_fract_y
_atom_site_fract_z
_atom_site_occupancy
Ca1 Ca 0.000 0.000 0.000 1
P1 P 0.500 0.500 0.000 1
S1 S 0.000 0.500 0.500 1
Cl1 Cl 0.500 0.500 0.500 1

***

[17]
# PBE Ti9O17, optimized geometry
# DFT total energy ... -8.967 eV per atom
# Raw formation energy ... -77.79 eV per formula unit
data_Ti9O17
_space_group_name_H-M_alt 'P -1'
_space_group_IT_number 2
_space_group_name_Hall '-P 1'
_cell_length_a 5.572
_cell_length_b 7.197
_cell_length_c 14.892
_cell_angle_alpha 96.89
_cell_angle_beta 90.59
_cell_angle_gamma 108.62
loop_
_atom_site_label
_atom_site_type_symbol
_atom_site_fract_x
_atom_site_fract_y
_atom_site_fract_z
_atom_site_occupancy
Ti1 Ti 0.000 0.000 0.000 1
Ti2 Ti 0.000 0.500 0.000 1
Ti3 Ti 0.168 0.405 0.773 1
Ti4 Ti 0.170 0.905 0.774 1
Ti5 Ti 0.252 0.406 0.341 1
Ti6 Ti 0.252 0.901 0.341 1
Ti7 Ti 0.303 0.310 0.540 1
Ti8 Ti 0.303 0.813 0.543 1
Ti9 Ti 0.411 0.794 0.114 1
Ti10 Ti 0.416 0.296 0.113 1
O1 O 0.043 0.822 0.457 1
O2 O 0.044 0.113 0.728 1
O3 O 0.060 0.635 0.127 1
O4 O 0.105 0.760 0.641 1
O5 O 0.125 0.288 0.037 1
O6 O 0.142 0.614 0.308 1
O7 O 0.195 0.262 0.224 1
O8 O 0.226 0.034 0.893 1
O9 O 0.284 0.687 0.806 1
O10 O 0.293 0.012 0.079 1
O11 O 0.297 0.541 0.479 1
O12 O 0.353 0.186 0.405 1
O13 O 0.358 0.667 0.991 1
O14 O 0.384 0.448 0.658 1
O15 O 0.457 0.104 0.571 1
O16 O 0.458 0.412 0.845 1
O17 O 0.481 0.943 0.245 1

***

[18]
# PBE ReRh2Se, optimized geometry
# DFT total energy ... -7.292 eV per atom
# Raw formation energy ... 1.47 eV per formula unit
data_ReRh2Se
_space_group_name_H-M_alt 'P 4/m m m'
_space_group_IT_number 123
_space_group_name_Hall '-P 4 2'
_cell_length_a 4.697
_cell_length_b 4.697
_cell_length_c 2.784
_cell_angle_alpha 90.00
_cell_angle_beta 90.00
_cell_angle_gamma 90.00
loop_
_atom_site_label
_atom_site_type_symbol
_atom_site_fract_x
_atom_site_fract_y
_atom_site_fract_z
_atom_site_occupancy
Re1 Re 0.000 0.000 0.000 1
Rh1 Rh 0.000 0.500 0.500 1
Se1 Se 0.500 0.500 0.000 1

***

[19]
# PBE K2NaInHg2, optimized geometry
# DFT total energy ... -1.335 eV per atom
# Formation enthalpy at 0 K ... -1.2 eV per formula unit
data_K2NaInHg2
_space_group_name_H-M_alt 'I b a m'
_space_group_IT_number 72
_space_group_name_Hall '-I 2 2c'
_cell_length_a 6.968
_cell_length_b 17.375
_cell_length_c 6.966
_cell_angle_alpha 90.00
_cell_angle_beta 90.00
_cell_angle_gamma 90.00
loop_
_atom_site_label
_atom_site_type_symbol
_atom_site_fract_x
_atom_site_fract_y
_atom_site_fract_z
_atom_site_occupancy
K1 K 0.242 0.176 0.000 1
Na1 Na 0.000 0.000 0.250 1
In1 In 0.000 0.500 0.250 1
Hg1 Hg 0.235 0.388 0.000 1

***

[20]
# PBE ZnTcI2N, optimized geometry
# DFT total energy ... -4.242 eV per atom
# Raw formation energy ... 1.86 eV per formula unit
data_ZnTcI2N
_space_group_name_H-M_alt 'P 4/m m m'
_space_group_IT_number 123
_space_group_name_Hall '-P 4 2'
_cell_length_a 5.615
_cell_length_b 5.615
_cell_length_c 3.764
_cell_angle_alpha 90.00
_cell_angle_beta 90.00
_cell_angle_gamma 90.00
loop_
_atom_site_label
_atom_site_type_symbol
_atom_site_fract_x
_atom_site_fract_y
_atom_site_fract_z
_atom_site_occupancy
Zn1 Zn 0.000 0.000 0.000 1
Tc1 Tc 0.500 0.500 0.500 1
I1 I 0.000 0.500 0.500 1
N1 N 0.500 0.500 0.000 1

***

[21]
# PBE LiCd2F, optimized geometry
# DFT total energy ... -2.246 eV per atom
# Raw formation energy ... -3.37 eV per formula unit
data_LiCd2F
_space_group_name_H-M_alt 'I -4 2 d'
_space_group_IT_number 122
_space_group_name_Hall 'I -4 2bw'
_cell_length_a 7.676
_cell_length_b 7.676
_cell_length_c 5.351
_cell_angle_alpha 90.00
_cell_angle_beta 90.00
_cell_angle_gamma 90.00
loop_
_atom_site_label
_atom_site_type_symbol
_atom_site_fract_x
_atom_site_fract_y
_atom_site_fract_z
_atom_site_occupancy
Li1 Li 0.000 0.000 0.000 1
Cd1 Cd 0.200 0.750 0.625 1
F1 F 0.000 0.000 0.500 1

***

no.,calculated volume (A^3/atom)
1,20.969
2,32.364
3,33.547
4,25.549
5,28.907
6,21.949
7,20.414
8,27.423
9,32.792
10,39.094
11,20.589
12,15.580
13,12.715
14,14.263
15,21.270
16,22.219
17,10.790
18,15.354
19,35.139
20,23.738
21,19.703